The following is a DFT calculation (GGA-PBE) of a relaxed CsCaHg2Bi2 crystal.

## Properties
formation energy	-0.425	eV/atom
E	-13.8	eV/cell
total moment	0.0	Bohr magnetons per cell
Fermi-level density of states	1.85	states/eV/f.u.
space group	P-3m1, No. 164

Cell: 5.1806 5.1806 9.5073 Å, 90.00 90.00 120.00°
Closest atoms and distances in Å follow each position.
Fractional positions:
Cs 0.0000 0.0000 0.0000  6 Bi 4.04
Ca 0.0000 0.0000 0.5000  6 Hg 3.28, 6 Bi 3.62
Hg 0.6667 0.3333 0.6423  4 Bi 3.07-3.40, 3 Ca 3.28
Hg 0.3333 0.6667 0.3577  4 Bi 3.07-3.40, 3 Ca 3.28
Bi 0.6667 0.3333 0.2850  4 Hg 3.07-3.40
Bi 0.3333 0.6667 0.7150  4 Hg 3.07-3.40

The following is a DFT calculation (GGA-PBE) of a relaxed TaNiPd2 crystal.

## Properties
formation energy	-0.169	eV/atom
E	-28.7	eV/cell
total moment	0.0	Bohr magnetons per cell
Fermi-level density of states	5.67	states/eV/f.u.
space group	Fm-3m, No. 225
relative energy among the computed polymorphs	235	meV/atom

Cell: 4.3929 4.3929 4.3929 Å, 60.00 60.00 60.00°
Closest atoms and distances in Å follow each position.
Fractional positions:
Ni 0.0000 0.0000 0.0000  8 Pd 2.69
Pd 0.2500 0.2500 0.2500  4 Ta 2.69, 4 Ni 2.69
Pd 0.7500 0.7500 0.7500  4 Ta 2.69, 4 Ni 2.69
Ta 0.5000 0.5000 0.5000  8 Pd 2.69

The following is a DFT calculation (GGA-PBE) of a relaxed HfSc2Te crystal.

## Properties
E	-25.6	eV/cell
total moment	1.0	Bohr magnetons per cell
Fermi-level density of states	6.05	states/eV/f.u.
formation energy (no corrections)	0.04	eV/atom
space group	R-3m, No. 166

Cell: 10.8758 10.8758 10.8758 Å, 17.69 17.69 17.69°
Closest atoms and distances in Å follow each position.
Fractional positions:
Sc 0.9101 0.9101 0.9101  1 Te 2.89, 3 Hf 3.13
Sc 0.0899 0.0899 0.0899  1 Te 2.89, 3 Hf 3.13
Te 0.0000 0.0000 0.0000  2 Sc 2.89
Hf 0.5000 0.5000 0.5000  6 Sc 3.13, 6 Hf 3.34

The following is a DFT calculation (GGA-PBE) of a relaxed Li3La3TiSe8 crystal.

## Properties
E	-79.9	eV/cell
total moment	0.0	Bohr magnetons per cell
formation energy (no corrections)	-1.57	eV/atom
space group	R-3m, No. 166

Cell: 8.4197 8.4181 8.0496 Å, 121.56 90.00 120.01°
Closest atoms and distances in Å follow each position.
Fractional positions:
Li 0.0000 0.0000 0.0000  6 Se 2.84-2.85
Li 0.0000 0.5000 0.0000  6 Se 2.84-2.86
Li 0.5000 0.5000 0.0000  6 Se 2.84-2.86
La 0.5000 0.0000 0.5000  6 Se 2.97-3.01
La 0.5000 0.5000 0.5000  6 Se 2.97-3.01
La 0.0000 0.5000 0.5000  6 Se 2.97-3.01
Ti 0.0000 0.0000 0.5000  6 Se 2.64
Se 0.2447 0.4893 0.2342  3 Li 2.85-2.86, 3 La 2.97
Se 0.7553 0.5107 0.7658  3 Li 2.85-2.86, 3 La 2.97
Se 0.7731 0.5463 0.2601  1 Ti 2.64, 2 Li 2.84
Se 0.2269 0.4537 0.7399  1 Ti 2.64, 2 Li 2.84
Se 0.7732 0.9867 0.2601  1 Ti 2.64, 2 Li 2.84
Se 0.2268 0.0133 0.7399  1 Ti 2.64, 2 Li 2.84
Se 0.2135 0.9867 0.2601  1 Ti 2.64, 2 Li 2.84
Se 0.7865 0.0133 0.7399  1 Ti 2.64, 2 Li 2.84

The following is a DFT calculation (GGA-PBE) of a relaxed Zr2Tc2Os crystal.

## Properties
formation energy	0.443	eV/atom
E	-93.7	eV/cell
total moment	0.0	Bohr magnetons per cell
Fermi-level density of states	4.50	states/eV/f.u.
space group	P4/mbm, No. 127
relative energy among the computed polymorphs	486	meV/atom

Cell: 7.4948 7.4948 3.1668 Å, 90.00 90.00 90.00°
Closest atoms and distances in Å follow each position.
Fractional positions:
Os 0.0000 0.0000 0.0000  4 Zr 2.87, 2 Os 3.17
Os 0.5000 0.5000 0.0000  4 Zr 2.87, 2 Os 3.17
Tc 0.1631 0.6631 0.5000  6 Zr 2.57-2.81
Tc 0.6631 0.8369 0.5000  6 Zr 2.57-2.81
Tc 0.8369 0.3369 0.5000  6 Zr 2.57-2.81
Tc 0.3369 0.1631 0.5000  6 Zr 2.57-2.81
Zr 0.3540 0.8540 0.0000  6 Tc 2.57-2.81, 2 Os 2.87
Zr 0.8540 0.6460 0.0000  6 Tc 2.57-2.81, 2 Os 2.87
Zr 0.6460 0.1460 0.0000  6 Tc 2.57-2.81, 2 Os 2.87
Zr 0.1460 0.3540 0.0000  6 Tc 2.57-2.81, 2 Os 2.87

The following is a DFT calculation (GGA-PBE) of a relaxed CdAg2Sb2 crystal.

## Properties
E	-14.0	eV/cell
total moment	0.0	Bohr magnetons per cell
Fermi-level density of states	2.09	states/eV/f.u.
formation energy (no corrections)	0.18	eV/atom
space group	I4/mmm, No. 139
relative energy among the computed polymorphs	38	meV/atom

Cell: 4.4561 4.4561 7.1766 Å, 71.91 71.91 90.00°
Closest atoms and distances in Å follow each position.
Fractional positions:
Sb 0.3881 0.3881 0.2239  4 Ag 2.85, 1 Sb 2.89
Sb 0.6119 0.6119 0.7761  4 Ag 2.85, 1 Sb 2.89
Ag 0.7500 0.2500 0.5000  4 Sb 2.85, 4 Ag 3.15
Ag 0.2500 0.7500 0.5000  4 Sb 2.85, 4 Ag 3.15
Cd 0.0000 0.0000 0.0000  8 Sb 3.47

The following is a DFT calculation (GGA-PBE) of a relaxed Fe2MoHRh crystal.

## Properties
E	-38.4	eV/cell
total moment	0.0	Bohr magnetons per cell
Fermi-level density of states	3.00	states/eV/f.u.
space group	P4/mmm, No. 123
relative energy among the computed polymorphs	0	meV/atom

Cell: 3.7605 3.7605 3.7030 Å, 90.00 90.00 90.00°
Closest atoms and distances in Å follow each position.
Fractional positions:
H 0.0000 0.0000 0.0000  2 Rh 1.85, 4 Fe 1.88
Mo 0.5000 0.5000 0.5000  8 Fe 2.64, 4 Rh 2.66
Rh 0.0000 0.0000 0.5000  2 H 1.85
Fe 0.0000 0.5000 0.0000  2 H 1.88
Fe 0.5000 0.0000 0.0000  2 H 1.88

The following is a DFT calculation (GGA-PBE) of a relaxed La8Sm2Mg crystal.

## Properties
formation energy	0.091	eV/atom
E	-49.4	eV/cell
total moment	0.0	Bohr magnetons per cell
Fermi-level density of states	15.10	states/eV/f.u.
space group	C2/m, No. 12
relative energy among the computed polymorphs	45	meV/atom

Cell: 6.2361 10.3081 10.3081 Å, 39.27 67.81 67.81°
Closest atoms and distances in Å follow each position.
Fractional positions:
La 0.3328 0.1134 0.5775  3 La 3.22-3.46, 1 Mg 3.43
La 0.3328 0.5775 0.1134  3 La 3.22-3.46, 1 Mg 3.43
La 0.6672 0.8866 0.4225  3 La 3.22-3.46, 1 Mg 3.43
La 0.2111 0.5375 0.5375  4 La 3.30-3.62, 1 Sm 3.41
La 0.6672 0.4225 0.8866  3 La 3.22-3.46, 1 Mg 3.43
La 0.3323 0.0985 0.0985  3 La 3.29-3.55, 1 Mg 3.34, 1 Sm 3.38
La 0.6677 0.9015 0.9015  3 La 3.29-3.55, 1 Mg 3.34, 1 Sm 3.38
La 0.7889 0.4625 0.4625  4 La 3.30-3.62, 1 Sm 3.41
Sm 0.9113 0.2748 0.2748  8 La 3.38-3.78, 2 Sm 3.65
Sm 0.0887 0.7252 0.7252  8 La 3.38-3.78, 2 Sm 3.65
Mg 0.0000 0.0000 0.0000  6 La 3.34-3.43

The following is a DFT calculation (GGA-PBE) of a relaxed Dy2ErAl crystal.

## Properties
formation energy	0.120	eV/atom
E	-17.0	eV/cell
total moment	0.8	Bohr magnetons per cell
Fermi-level density of states	4.93	states/eV/f.u.
space group	R-3m, No. 166
relative energy among the computed polymorphs	320	meV/atom

Cell: 3.4464 3.4464 11.6096 Å, 81.46 81.46 60.00°
Closest atoms and distances in Å follow each position.
Fractional positions:
Dy 0.0998 0.0998 0.7005  3 Al 3.04
Dy 0.9002 0.9002 0.2995  3 Al 3.04
Al 0.5000 0.5000 0.5000  6 Dy 3.04
Er 0.0000 0.0000 0.0000  2 Dy 3.43, 6 Er 3.45

The following is a DFT calculation (GGA-PBE) of a relaxed BaNaTbTl crystal.

## Properties
formation energy	-0.023	eV/atom
E	-10.3	eV/cell
total moment	0.0	Bohr magnetons per cell
Fermi-level density of states	4.60	states/eV/f.u.
space group	F-43m, No. 216

Cell: 5.8084 5.8084 5.8084 Å, 60.00 60.00 60.00°
Closest atoms and distances in Å follow each position.
Fractional positions:
Na 0.0000 0.0000 0.0000  4 Tb 3.56, 4 Ba 3.56
Tl 0.5000 0.5000 0.5000  4 Ba 3.56, 4 Tb 3.56
Tb 0.7500 0.7500 0.7500  4 Tl 3.56, 4 Na 3.56
Ba 0.2500 0.2500 0.2500  4 Na 3.56, 4 Tl 3.56

The following is a DFT calculation (GGA-PBE) of a relaxed Sm3In5H12 crystal.

## Properties
E	-268.6	eV/cell
total moment	0.0	Bohr magnetons per cell
Fermi-level density of states	7.68	states/eV/f.u.
space group	Ia-3d, No. 230

Cell: 11.3248 11.3248 11.3248 Å, 109.47 109.47 109.47°
Closest atoms and distances in Å follow each position.
Fractional positions:
Sm 0.7500 0.3750 0.1250  8 H 2.26-2.31
Sm 0.8750 0.7500 0.1250  8 H 2.26-2.31
Sm 0.3750 0.7500 0.6250  8 H 2.26-2.31
Sm 0.2500 0.1250 0.3750  8 H 2.26-2.31
Sm 0.8750 0.1250 0.2500  8 H 2.26-2.31
Sm 0.3750 0.6250 0.2500  8 H 2.26-2.31
Sm 0.6250 0.3750 0.7500  8 H 2.26-2.31
Sm 0.1250 0.8750 0.7500  8 H 2.26-2.31
Sm 0.7500 0.8750 0.6250  8 H 2.26-2.31
Sm 0.6250 0.2500 0.3750  8 H 2.26-2.31
Sm 0.1250 0.2500 0.8750  8 H 2.26-2.31
Sm 0.2500 0.6250 0.8750  8 H 2.26-2.31
In 0.1250 0.3750 0.2500  4 H 2.24
In 0.0000 0.5000 0.0000  6 H 2.33
In 0.0000 0.0000 0.0000  6 H 2.33
In 0.3750 0.2500 0.1250  4 H 2.24
In 0.5000 0.0000 0.5000  6 H 2.33
In 0.5000 0.5000 0.0000  6 H 2.33
In 0.1250 0.7500 0.3750  4 H 2.24
In 0.7500 0.1250 0.8750  4 H 2.24
In 0.7500 0.6250 0.3750  4 H 2.24
In 0.3750 0.1250 0.7500  4 H 2.24
In 0.6250 0.8750 0.2500  4 H 2.24
In 0.5000 0.5000 0.5000  6 H 2.33
In 0.5000 0.0000 0.0000  6 H 2.33
In 0.0000 0.0000 0.5000  6 H 2.33
In 0.2500 0.3750 0.6250  4 H 2.24
In 0.2500 0.8750 0.1250  4 H 2.24
In 0.0000 0.5000 0.5000  6 H 2.33
In 0.8750 0.2500 0.6250  4 H 2.24
In 0.6250 0.7500 0.8750  4 H 2.24
In 0.8750 0.6250 0.7500  4 H 2.24
H 0.7394 0.1555 0.0767  1 H 2.10, 2 In 2.24-2.33, 2 Sm 2.26-2.31
H 0.3373 0.5767 0.4212  1 H 2.10, 2 In 2.24-2.33, 2 Sm 2.26-2.31
H 0.9233 0.3445 0.2606  1 H 2.10, 2 In 2.24-2.33, 2 Sm 2.26-2.31
H 0.5767 0.2394 0.1555  1 H 2.10, 2 In 2.24-2.33, 2 Sm 2.26-2.31
H 0.5839 0.7394 0.6627  1 H 2.10, 2 In 2.24-2.33, 2 Sm 2.26-2.31
H 0.9233 0.5788 0.1627  1 H 2.10, 2 In 2.24-2.33, 2 Sm 2.26-2.31
H 0.3373 0.7606 0.4161  1 H 2.10, 2 In 2.24-2.33, 2 Sm 2.26-2.31
H 0.0788 0.9161 0.1555  1 H 2.10, 2 In 2.24-2.33, 2 Sm 2.26-2.31
H 0.5788 0.9233 0.6627  1 H 2.10, 2 In 2.24-2.33, 2 Sm 2.26-2.31
H 0.7394 0.5839 0.1627  1 H 2.10, 2 In 2.24-2.33, 2 Sm 2.26-2.31
H 0.7606 0.4233 0.3445  1 H 2.10, 2 In 2.24-2.33, 2 Sm 2.26-2.31
H 0.8373 0.9212 0.0767  1 H 2.10, 2 In 2.24-2.33, 2 Sm 2.26-2.31
H 0.1555 0.7394 0.5767  1 H 2.10, 2 In 2.24-2.33, 2 Sm 2.26-2.31
H 0.3445 0.4212 0.0839  1 H 2.10, 2 In 2.24-2.33, 2 Sm 2.26-2.31
H 0.0839 0.9212 0.3445  1 H 2.10, 2 In 2.24-2.33, 2 Sm 2.26-2.31
H 0.4161 0.1555 0.5788  1 H 2.10, 2 In 2.24-2.33, 2 Sm 2.26-2.31
H 0.0839 0.1627 0.2394  1 H 2.10, 2 In 2.24-2.33, 2 Sm 2.26-2.31
H 0.4233 0.6627 0.0788  1 H 2.10, 2 In 2.24-2.33, 2 Sm 2.26-2.31
H 0.8373 0.9161 0.2606  1 H 2.10, 2 In 2.24-2.33, 2 Sm 2.26-2.31
H 0.1555 0.4161 0.0788  1 H 2.10, 2 In 2.24-2.33, 2 Sm 2.26-2.31
H 0.3445 0.9233 0.7606  1 H 2.10, 2 In 2.24-2.33, 2 Sm 2.26-2.31
H 0.5788 0.6555 0.4161  1 H 2.10, 2 In 2.24-2.33, 2 Sm 2.26-2.31
H 0.9212 0.8373 0.5767  1 H 2.10, 2 In 2.24-2.33, 2 Sm 2.26-2.31
H 0.7606 0.3373 0.9161  1 H 2.10, 2 In 2.24-2.33, 2 Sm 2.26-2.31
H 0.4212 0.3445 0.5839  1 H 2.10, 2 In 2.24-2.33, 2 Sm 2.26-2.31
H 0.0788 0.1627 0.4233  1 H 2.10, 2 In 2.24-2.33, 2 Sm 2.26-2.31
H 0.2394 0.6627 0.0839  1 H 2.10, 2 In 2.24-2.33, 2 Sm 2.26-2.31
H 0.1627 0.0839 0.7394  1 H 2.10, 2 In 2.24-2.33, 2 Sm 2.26-2.31
H 0.6555 0.0767 0.2394  1 H 2.10, 2 In 2.24-2.33, 2 Sm 2.26-2.31
H 0.8445 0.5839 0.9212  1 H 2.10, 2 In 2.24-2.33, 2 Sm 2.26-2.31
H 0.5767 0.3373 0.9212  1 H 2.10, 2 In 2.24-2.33, 2 Sm 2.26-2.31
H 0.5839 0.8445 0.4212  1 H 2.10, 2 In 2.24-2.33, 2 Sm 2.26-2.31
H 0.9161 0.8373 0.7606  1 H 2.10, 2 In 2.24-2.33, 2 Sm 2.26-2.31
H 0.9161 0.0788 0.6555  1 H 2.10, 2 In 2.24-2.33, 2 Sm 2.26-2.31
H 0.8445 0.2606 0.4233  1 H 2.10, 2 In 2.24-2.33, 2 Sm 2.26-2.31
H 0.1627 0.0788 0.9233  1 H 2.10, 2 In 2.24-2.33, 2 Sm 2.26-2.31
H 0.6555 0.5788 0.9161  1 H 2.10, 2 In 2.24-2.33, 2 Sm 2.26-2.31
H 0.4212 0.0767 0.3373  1 H 2.10, 2 In 2.24-2.33, 2 Sm 2.26-2.31
H 0.2606 0.4161 0.8373  1 H 2.10, 2 In 2.24-2.33, 2 Sm 2.26-2.31
H 0.2394 0.5767 0.6555  1 H 2.10, 2 In 2.24-2.33, 2 Sm 2.26-2.31
H 0.9212 0.0839 0.8445  1 H 2.10, 2 In 2.24-2.33, 2 Sm 2.26-2.31
H 0.6627 0.2394 0.5839  1 H 2.10, 2 In 2.24-2.33, 2 Sm 2.26-2.31
H 0.4233 0.7606 0.8445  1 H 2.10, 2 In 2.24-2.33, 2 Sm 2.26-2.31
H 0.0767 0.4212 0.8373  1 H 2.10, 2 In 2.24-2.33, 2 Sm 2.26-2.31
H 0.4161 0.2606 0.3373  1 H 2.10, 2 In 2.24-2.33, 2 Sm 2.26-2.31
H 0.0767 0.6555 0.7394  1 H 2.10, 2 In 2.24-2.33, 2 Sm 2.26-2.31
H 0.6627 0.4233 0.5788  1 H 2.10, 2 In 2.24-2.33, 2 Sm 2.26-2.31
H 0.2606 0.8445 0.9233  1 H 2.10, 2 In 2.24-2.33, 2 Sm 2.26-2.31

The following is a DFT calculation (GGA-PBE) of a relaxed KMg2ScBr8 crystal.

## Properties
E	-42.0	eV/cell
total moment	0.0	Bohr magnetons per cell
Fermi-level density of states	0.00	states/eV/f.u.
formation energy (no corrections)	-1.50	eV/atom
space group	P-1, No. 2

Cell: 6.7316 6.4073 8.4514 Å, 89.94 89.94 88.46°
Closest atoms and distances in Å follow each position.
Fractional positions:
K 0.0000 0.0000 0.5000  6 Br 3.09-3.10
Mg 0.4997 0.4997 0.7467  6 Br 2.68-2.89
Mg 0.5003 0.5003 0.2533  6 Br 2.68-2.89
Sc 0.0000 0.0000 0.0000  6 Br 2.64-2.82
Br 0.1738 0.7564 0.2145  1 Sc 2.64, 1 Mg 2.73
Br 0.6717 0.7360 0.0001  1 Sc 2.82, 2 Mg 2.88-2.89
Br 0.8258 0.2431 0.2144  1 Sc 2.64, 1 Mg 2.73
Br 0.8262 0.2436 0.7855  1 Sc 2.64, 1 Mg 2.73
Br 0.3283 0.2640 0.9999  1 Sc 2.82, 2 Mg 2.88-2.89
Br 0.1742 0.7569 0.7856  1 Sc 2.64, 1 Mg 2.73
Br 0.6325 0.7183 0.5000  2 Mg 2.68
Br 0.3675 0.2817 0.5000  2 Mg 2.68